(1)
DFT (GGA-PBE) results for Cs2KRbBr after structural relaxation.

The structure in CIF format:
```
data_Cs2KRbBr
_chemical_formula_sum 'Cs2 K1 Rb1 Br1'
_cell_length_a 7.352
_cell_length_b 7.352
_cell_length_c 7.055
_cell_angle_alpha 90.00
_cell_angle_beta 90.00
_cell_angle_gamma 90.00
_space_group_name_H-M_alt 'P 1'
_space_group_IT_number 1
loop_
_space_group_symop_operation_xyz
'x,y,z'
loop_
_atom_site_label
_atom_site_type_symbol
_atom_site_fract_x
_atom_site_fract_y
_atom_site_fract_z
Cs1 Cs 0.000 0.500 0.000
Cs2 Cs 0.500 0.000 0.000
K1 K 0.000 0.000 0.500
Rb1 Rb 0.500 0.500 0.500
Br1 Br 0.500 0.500 0.000
```

Energy relative to the elements, uncorrected = -0.67 eV per atom
Energy = -1.76 eV per atom

(2)
DFT (GGA-PBE) results for Hf6FeSb2 after structural relaxation.

The structure in CIF format:
```
data_Hf6FeSb2
_chemical_formula_sum 'Hf12 Fe2 Sb4'
_cell_length_a 6.036
_cell_length_b 6.036
_cell_length_c 12.991
_cell_angle_alpha 90.00
_cell_angle_beta 90.00
_cell_angle_gamma 90.00
_space_group_name_H-M_alt 'P 1'
_space_group_IT_number 1
loop_
_space_group_symop_operation_xyz
'x,y,z'
loop_
_atom_site_label
_atom_site_type_symbol
_atom_site_fract_x
_atom_site_fract_y
_atom_site_fract_z
Hf1 Hf 0.182 0.182 0.133
Hf2 Hf 0.182 0.182 0.867
Hf3 Hf 0.213 0.213 0.500
Hf4 Hf 0.287 0.713 0.000
Hf5 Hf 0.318 0.682 0.367
Hf6 Hf 0.318 0.682 0.633
Hf7 Hf 0.682 0.318 0.367
Hf8 Hf 0.682 0.318 0.633
Hf9 Hf 0.713 0.287 0.000
Hf10 Hf 0.787 0.787 0.500
Hf11 Hf 0.818 0.818 0.133
Hf12 Hf 0.818 0.818 0.867
Fe1 Fe 0.000 0.000 0.000
Fe2 Fe 0.500 0.500 0.500
Sb1 Sb 0.000 0.000 0.320
Sb2 Sb 0.000 0.000 0.680
Sb3 Sb 0.500 0.500 0.180
Sb4 Sb 0.500 0.500 0.820
```

Energy relative to the elements, uncorrected = 0.23 eV per atom
Energy = -8.27 eV per atom